! Li4Mn3CoO8 | Alexandria | GGA+U | optimized geometry; values from VASP
! Mass density, g cm⁻³: 4.21
! ΔE to the lowest computed polymorph, eV per atom: 0.021
&SYSTEM
  ibrav = 0, nat = 16, ntyp = 4
/
ATOMIC_SPECIES
Li 6.94 Li.upf
Mn 54.94 Mn.upf
Co 58.93 Co.upf
O 16.00 O.upf
CELL_PARAMETERS angstrom
-0.5798 2.9394 0.4213
-0.7601 -0.9926 5.8795
8.0126 1.3920 1.3160
ATOMIC_POSITIONS angstrom
Li 4.0063 0.6960 0.6580
Li 1.4735 1.5651 1.9716
Li -0.3801 -0.4963 2.9397
Li 5.1992 1.7735 5.6451
Mn 5.5467 2.2733 2.6365
Mn 3.6262 0.1997 3.5977
Mn 1.1260 1.0654 4.9803
Co 0.0000 0.0000 0.0000
O 1.7313 -0.1386 3.3499
O -0.7253 0.7458 4.6619
O 5.9637 1.0202 1.0899
O 3.6148 1.9201 2.4424
O 5.5212 0.5379 3.8455
O 3.0578 1.4186 5.1744
O 1.2888 -0.6209 6.1055
O 7.3980 2.5929 2.9549